1.
A plane-wave DFT calculation with PBE was carried out for Rb4Y3SnO8 after structural relaxation.

For the formation energy without anion corrections, the calculation gives -37.032 eV per formula unit.

```
data_Rb4Y3SnO8
_cell_length_a 7.0395
_cell_length_b 7.0395
_cell_length_c 19.6936
_cell_angle_alpha 90.00
_cell_angle_beta 90.00
_cell_angle_gamma 120.00
_symmetry_space_group_name_H-M 'R -3 m'
_symmetry_Int_Tables_number 166
_symmetry_space_group_name_Hall '-R 3 2"'
loop_
_atom_site_label
_atom_site_fract_x
_atom_site_fract_y
_atom_site_fract_z
_atom_site_occupancy
Rb1 0.0000 0.0000 0.0000 1
Rb2 0.0000 0.5000 0.0000 1
Y1 0.0000 0.5000 0.5000 1
Sn1 0.0000 0.0000 0.5000 1
O1 0.0000 0.0000 0.2251 1
O2 0.0020 0.5010 0.7742 1
```

---

2.
A plane-wave DFT calculation with PBE was carried out for YMoAs after structural relaxation.

The value obtained for the energy relative to the elements is -106.9 kJ/mol of formula units.

```
data_YMoAs
_cell_length_a 3.390
_cell_length_b 3.390
_cell_length_c 10.391
_cell_angle_alpha 90.00
_cell_angle_beta 90.00
_cell_angle_gamma 90.00
_symmetry_space_group_name_H-M 'I 4 m m'
_symmetry_Int_Tables_number 107
_symmetry_space_group_name_Hall 'I 4 -2'
loop_
_atom_site_label
_atom_site_fract_x
_atom_site_fract_y
_atom_site_fract_z
_atom_site_occupancy
Y1 0.000 0.000 0.000 1
Mo1 0.000 0.000 0.302 1
As1 0.000 0.000 0.701 1
```

---

3.
A plane-wave DFT calculation with PBE was carried out for BaTe2Se2 after structural relaxation.

As for the energy above the most stable polymorph in this dataset: 364 meV/atom. For the formation energy without anion corrections, the calculation gives -1.803 eV per formula unit.

```
data_BaTe2Se2
_cell_length_a 5.716
_cell_length_b 5.716
_cell_length_c 10.269
_cell_angle_alpha 90.00
_cell_angle_beta 90.00
_cell_angle_gamma 90.00
_symmetry_space_group_name_H-M 'I 4/m m m'
_symmetry_Int_Tables_number 139
_symmetry_space_group_name_Hall '-I 4 2'
loop_
_atom_site_label
_atom_site_fract_x
_atom_site_fract_y
_atom_site_fract_z
_atom_site_occupancy
Ba1 0.000 0.000 0.000 1
Te1 0.000 0.000 0.372 1
Se1 0.000 0.500 0.250 1
```

---

4.
A plane-wave DFT calculation with PBE was carried out for MnVI3 after structural relaxation.

As for the energy above the most stable polymorph in this dataset: 0 meV/atom. For the formation energy without anion corrections, the calculation gives 1.518 eV per formula unit.

```
data_MnVI3
_cell_length_a 5.606
_cell_length_b 5.606
_cell_length_c 5.606
_cell_angle_alpha 90.00
_cell_angle_beta 90.00
_cell_angle_gamma 90.00
_symmetry_space_group_name_H-M 'P m -3 m'
_symmetry_Int_Tables_number 221
_symmetry_space_group_name_Hall '-P 4 2 3'
loop_
_atom_site_label
_atom_site_fract_x
_atom_site_fract_y
_atom_site_fract_z
_atom_site_occupancy
Mn1 0.000 0.000 0.000 1
V1 0.500 0.500 0.500 1
I1 0.000 0.500 0.500 1
```

---

5.
A plane-wave DFT calculation with PBE was carried out for Pr3Ga3Pd2 after structural relaxation.

The value obtained for the energy relative to the elements is -572.5 kJ/mol of formula units.

```
data_Pr3Ga3Pd2
_cell_length_a 4.573
_cell_length_b 10.516
_cell_length_c 15.330
_cell_angle_alpha 90.00
_cell_angle_beta 90.00
_cell_angle_gamma 90.00
_symmetry_space_group_name_H-M 'C m c m'
_symmetry_Int_Tables_number 63
_symmetry_space_group_name_Hall '-C 2c 2'
loop_
_atom_site_label
_atom_site_fract_x
_atom_site_fract_y
_atom_site_fract_z
_atom_site_occupancy
Pr1 0.000 0.096 0.107 1
Pr2 0.000 0.377 0.250 1
Ga1 0.000 0.331 0.750 1
Ga2 0.000 0.385 0.039 1
Pd1 0.000 0.197 0.602 1
```

---

6.
A plane-wave DFT calculation with PBE was carried out for ErSc5Pd4 after structural relaxation.

The value obtained for the energy relative to the elements is -674.8 kJ/mol of formula units.

```
data_ErSc5Pd4
_cell_length_a 3.305
_cell_length_b 3.305
_cell_length_c 18.297
_cell_angle_alpha 90.00
_cell_angle_beta 90.00
_cell_angle_gamma 90.00
_symmetry_space_group_name_H-M 'P 4/m m m'
_symmetry_Int_Tables_number 123
_symmetry_space_group_name_Hall '-P 4 2'
loop_
_atom_site_label
_atom_site_fract_x
_atom_site_fract_y
_atom_site_fract_z
_atom_site_occupancy
Er1 0.000 0.000 0.000 1
Sc1 0.500 0.500 0.136 1
Sc2 0.500 0.500 0.316 1
Sc3 0.500 0.500 0.500 1
Pd1 0.000 0.000 0.227 1
Pd2 0.000 0.000 0.408 1
```

---

7.
A plane-wave DFT calculation with PBE was carried out for Zr13Ru2 after structural relaxation.

The value obtained for the energy relative to the elements is -144.0 kJ/mol of formula units.

```
data_Zr13Ru2
_cell_length_a 5.981
_cell_length_b 7.514
_cell_length_c 8.398
_cell_angle_alpha 63.70
_cell_angle_beta 89.58
_cell_angle_gamma 80.24
_symmetry_space_group_name_H-M 'P -1'
_symmetry_Int_Tables_number 2
loop_
_symmetry_equiv_pos_as_xyz
'x,y,z'
'-x,-y,-z'
loop_
_atom_site_label
_atom_site_fract_x
_atom_site_fract_y
_atom_site_fract_z
_atom_site_occupancy
Zr1 0.000 0.000 0.000 1
Zr2 0.040 0.552 0.669 1
Zr3 0.199 0.991 0.632 1
Zr4 0.240 0.605 0.988 1
Zr5 0.263 0.144 0.221 1
Zr6 0.435 0.208 0.850 1
Zr7 0.473 0.348 0.420 1
Ru1 0.184 0.753 0.331 1
```

---

8.
A plane-wave DFT calculation with PBE was carried out for MgRu4 after structural relaxation.

The value obtained for the energy relative to the elements is 82.1 kJ/mol of formula units. As for the energy above the most stable polymorph in this dataset: 0 meV/atom.

```
data_MgRu4
_cell_length_a 6.148
_cell_length_b 6.148
_cell_length_c 3.821
_cell_angle_alpha 90.00
_cell_angle_beta 90.00
_cell_angle_gamma 90.00
_symmetry_space_group_name_H-M 'I 4/m'
_symmetry_Int_Tables_number 87
_symmetry_space_group_name_Hall '-I 4'
loop_
_atom_site_label
_atom_site_fract_x
_atom_site_fract_y
_atom_site_fract_z
_atom_site_occupancy
Mg1 0.000 0.000 0.000 1
Ru1 0.097 0.307 0.500 1
```

---

9.
A plane-wave DFT calculation with PBE was carried out for Hg2PtPb after structural relaxation.

The value obtained for the energy relative to the elements is 22.0 kJ/mol of formula units.

```
data_Hg2PtPb
_cell_length_a 4.344
_cell_length_b 4.799
_cell_length_c 4.833
_cell_angle_alpha 90.00
_cell_angle_beta 101.34
_cell_angle_gamma 90.00
_symmetry_space_group_name_H-M 'P 1 2/m 1'
_symmetry_Int_Tables_number 10
loop_
_symmetry_equiv_pos_as_xyz
'x,y,z'
'-x,-y,-z'
'-x,y,-z'
'x,-y,z'
loop_
_atom_site_label
_atom_site_fract_x
_atom_site_fract_y
_atom_site_fract_z
_atom_site_occupancy
Hg1 0.205 0.000 0.284 1
Pt1 0.000 0.500 0.500 1
Pb1 0.500 0.500 0.000 1
```

---

10.
A plane-wave DFT calculation with PBE was carried out for DyCdCu2 after structural relaxation.

The value obtained for the energy relative to the elements is -73.2 kJ/mol of formula units.

```
data_DyCdCu2
_cell_length_a 6.226
_cell_length_b 4.358
_cell_length_c 10.997
_cell_angle_alpha 90.00
_cell_angle_beta 90.00
_cell_angle_gamma 90.00
_symmetry_space_group_name_H-M 'P n m a'
_symmetry_Int_Tables_number 62
loop_
_symmetry_equiv_pos_as_xyz
'x,y,z'
'-x,-y,-z'
'-x+1/2,-y,z+1/2'
'x+1/2,y,-z+1/2'
'x+1/2,-y+1/2,-z+1/2'
'-x+1/2,y+1/2,z+1/2'
'-x,y+1/2,-z'
'x,-y+1/2,z'
loop_
_atom_site_label
_atom_site_fract_x
_atom_site_fract_y
_atom_site_fract_z
_atom_site_occupancy
Dy1 0.221 0.250 0.168 1
Cd1 0.185 0.250 0.460 1
Cu1 0.053 0.750 0.322 1
Cu2 0.062 0.250 0.898 1
```

---

11.
A plane-wave DFT calculation with PBE was carried out for VGaRu2 after structural relaxation.

The value obtained for the energy relative to the elements is -165.4 kJ/mol of formula units.

```
data_VGaRu2
_cell_length_a 3.023
_cell_length_b 3.023
_cell_length_c 6.006
_cell_angle_alpha 90.00
_cell_angle_beta 90.00
_cell_angle_gamma 90.00
_symmetry_space_group_name_H-M 'P 4/m m m'
_symmetry_Int_Tables_number 123
_symmetry_space_group_name_Hall '-P 4 2'
loop_
_atom_site_label
_atom_site_fract_x
_atom_site_fract_y
_atom_site_fract_z
_atom_site_occupancy
V1 0.000 0.000 0.000 1
Ga1 0.000 0.000 0.500 1
Ru1 0.500 0.500 0.244 1
```

---

12.
A plane-wave DFT calculation with PBE was carried out for Ac2ZnPd4Au2 after structural relaxation.

The value obtained for the energy relative to the elements is -572.4 kJ/mol of formula units.

```
data_Ac2ZnPd4Au2
_cell_length_a 6.509
_cell_length_b 6.509
_cell_length_c 9.121
_cell_angle_alpha 90.00
_cell_angle_beta 90.00
_cell_angle_gamma 90.00
_symmetry_space_group_name_H-M 'I 4/m m m'
_symmetry_Int_Tables_number 139
_symmetry_space_group_name_Hall '-I 4 2'
loop_
_atom_site_label
_atom_site_fract_x
_atom_site_fract_y
_atom_site_fract_z
_atom_site_occupancy
Ac1 0.000 0.500 0.250 1
Zn1 0.000 0.000 0.000 1
Pd1 0.222 0.222 0.500 1
Au1 0.000 0.000 0.279 1
```

---

no.,V (Å³ per atom),total moment (Bohr magnetons per cell)
1,17.6,0.0
2,19.9,0.0
3,33.6,0.0
4,35.2,8.8
5,23.0,0.0
6,20.0,0.0
7,22.2,0.0
8,14.4,0.0
9,24.7,0.0
10,18.6,0.0
11,13.7,0.0
12,21.5,0.0